1.
Na2AgS | PBE | optimized geometry

POSCAR file:
```
Na2AgS
1.0
4.7538 0.0000 0.0000
0.0000 4.7538 0.0000
2.3769 2.3769 8.9533
Na S Ag
4 2 2
Direct
0.5815 0.1250 0.2500 Na
0.1685 0.6250 0.2500 Na
0.3750 0.4185 0.7500 Na
0.8750 0.8315 0.7500 Na
0.5000 0.5000 0.0000 S
0.2500 0.7500 0.5000 S
0.0000 0.0000 0.0000 Ag
0.7500 0.2500 0.5000 Ag
```

## Properties
- total magnetic moment (μB/cell) = 0.00
- symmetry = I-42d



2.
NaAgS3 | PBE | optimized geometry

POSCAR file:
```
NaAgS3
1.0
-2.3879 9.3044 -1.4210
-2.4852 0.0967 4.8092
4.8467 14.7924 2.2072
Na Ag S
4 4 12
Direct
0.5435 0.8312 0.5941 Na
0.4565 0.1688 0.4059 Na
0.9565 0.3312 0.9059 Na
0.0435 0.6688 0.0941 Na
0.5919 0.2594 0.7790 Ag
0.4081 0.7406 0.2210 Ag
0.9081 0.7594 0.7210 Ag
0.0919 0.2406 0.2790 Ag
0.0430 0.8379 0.8095 S
0.9570 0.1621 0.1905 S
0.4570 0.3379 0.6905 S
0.5430 0.6621 0.3095 S
0.6576 0.3293 0.4827 S
0.3424 0.6707 0.5173 S
0.8424 0.8293 0.0173 S
0.1576 0.1707 0.9827 S
0.0139 0.9194 0.4337 S
0.9861 0.0806 0.5663 S
0.4861 0.4194 0.0663 S
0.5139 0.5806 0.9337 S
```

## Properties
- total magnetic moment (μB/cell) = 0.00
- symmetry = P2_1/c



3.
NaAgS | PBE | optimized geometry

POSCAR file:
```
NaAgS
1.0
3.8161 0.0000 0.0000
0.0000 3.8161 0.0000
-1.9080 -1.9080 4.0120
Na S Ag
1 1 1
Direct
0.0026 0.0026 0.0053 Na
0.6582 0.6582 0.3164 S
0.3391 0.3391 0.6783 Ag
```

## Properties
- total magnetic moment (μB/cell) = 0.00
- symmetry = I4mm



4.
Na14Ag2S9 | PBE | optimized geometry

POSCAR file:
```
Na14Ag2S9
1.0
7.9860 0.0000 0.0000
-3.9930 6.9161 0.0000
0.0000 0.0000 11.0753
Na Ag S
14 2 9
Direct
0.0190 0.6699 0.9084 Na
0.3242 0.9520 0.5953 Na
0.0480 0.3722 0.5953 Na
0.0000 0.0000 0.2522 Na
0.0000 0.0000 0.7478 Na
0.3301 0.3491 0.9084 Na
0.6509 0.9810 0.9084 Na
0.3722 0.3242 0.4047 Na
0.6278 0.6758 0.5953 Na
0.3491 0.0190 0.0916 Na
0.6699 0.6509 0.0916 Na
0.9520 0.6278 0.4047 Na
0.6758 0.0480 0.4047 Na
0.9810 0.3301 0.0916 Na
0.3333 0.6667 0.2594 Ag
0.6667 0.3333 0.7406 Ag
0.3048 0.9576 0.3395 S
0.0424 0.3472 0.3395 S
0.3333 0.6667 0.0254 S
0.0000 0.0000 0.0000 S
0.3472 0.3048 0.6605 S
0.6528 0.6952 0.3395 S
0.6667 0.3333 0.9746 S
0.9576 0.6528 0.6605 S
0.6952 0.0424 0.6605 S
```

## Properties
- total magnetic moment (μB/cell) = 1.65
- symmetry = P-3



Table of energy (eV per atom), in record order: -2.532 -3.582 -3.102 -3.306